TbSm3Ag | PBE-GGA | relaxed

Computed properties:
- Size of the total moment: 0.000 μB per cell
- Fermi-level density of states: 1.326 states/eV per atom
- Electronic total energy: -4.2722 eV per atom

Cell lengths 7.1515, 7.1515, 8.1287 Å; angles 98.26, 118.30, 107.33 degrees
Closest atoms and distances in Å follow each position.
Positions (direct):
Tb  0.6842  0.0778  0.7620  2 Ag 3.02-3.11
Tb  0.3158  0.9222  0.2380  2 Ag 3.02-3.11
Sm  0.8047  0.9702  0.1907  2 Ag 3.03-3.11
Sm  0.2205  0.3860  0.1907  2 Ag 3.03-3.11
Sm  0.7795  0.6140  0.8093  2 Ag 3.03-3.11
Sm  0.7452  0.4502  0.1955  1 Ag 3.12
Sm  0.1953  0.0298  0.8093  2 Ag 3.03-3.11
Sm  0.2548  0.5498  0.8045  1 Ag 3.12
Ag  0.6833  0.7672  0.4505  2 Tb 3.02-3.11, 5 Sm 3.03-3.12
Ag  0.3167  0.2328  0.5495  2 Tb 3.02-3.11, 5 Sm 3.03-3.12